1.
Computed, not measured: crystalline Pr2TmThS4 at its relaxed geometry at the PBE-GGA level of DFT.

Values from the calculation:
E_tot = -53.50 eV for the cell shown
formation energy without anion corrections = -1.94 eV per atom

abc: 3.9884 7.0184 6.9812
angles: 108.99 90.00 90.00
Closest atoms and distances in Å follow each position.
Element x y z (fractional)
S1 0.0000 0.2437 0.7613  1 Tm 2.75, 2 Th 2.84, 3 Pr 2.86-2.95
S2 0.5000 0.2346 0.2312  2 Tm 2.75, 1 Th 2.83, 3 Pr 2.87-2.95
S3 0.0000 0.7563 0.2387  1 Tm 2.75, 2 Th 2.84, 3 Pr 2.86-2.95
S4 0.5000 0.7654 0.7688  2 Tm 2.75, 1 Th 2.83, 3 Pr 2.87-2.95
Tm1 0.0000 0.0000 0.0000  6 S 2.75
Th1 0.5000 0.5000 0.0000  6 S 2.83-2.84
Pr1 0.0000 0.5000 0.5000  6 S 2.95
Pr2 0.5000 0.0000 0.5000  6 S 2.86-2.87

2.
Computed, not measured: crystalline HfIBr at its relaxed geometry at the PBE-GGA level of DFT.

Values from the calculation:
relative energy among the computed polymorphs = 0.000 eV per atom
E_tot = -31.85 eV for the cell shown
formation energy without anion corrections = -0.92 eV per atom

abc: 3.5842 6.5427 8.2741
angles: 100.20 90.00 90.00
Closest atoms and distances in Å follow each position.
Element x y z (fractional)
Hf1 0.2500 0.6929 0.0063  3 Br 2.81-2.90, 3 I 2.91-2.93, 2 Hf 3.08
Hf2 0.7500 0.3071 0.9937  3 Br 2.81-2.90, 3 I 2.91-2.93, 2 Hf 3.08
Br1 0.7500 0.8829 0.8173  3 Hf 2.81-2.90
Br2 0.2500 0.1171 0.1827  3 Hf 2.81-2.90
I1 0.2500 0.3578 0.7240  3 Hf 2.91-2.93
I2 0.7500 0.6422 0.2760  3 Hf 2.91-2.93

3.
Computed, not measured: crystalline TaH2W at its relaxed geometry at the PBE-GGA level of DFT.

Values from the calculation:
relative energy among the computed polymorphs = 0.000 eV per atom
E_tot = -62.14 eV for the cell shown

abc: 4.2617 4.2617 5.3746
angles: 66.64 66.64 90.00
Closest atoms and distances in Å follow each position.
Element x y z (fractional)
H1 0.8750 0.8854 0.7500  2 W 1.85, 2 Ta 1.90
H2 0.6354 0.1250 0.2500  2 W 1.85, 2 Ta 1.90
H3 0.1146 0.6250 0.2500  2 W 1.85, 2 Ta 1.90
H4 0.3750 0.3646 0.7500  2 W 1.85, 2 Ta 1.90
Ta1 0.2500 0.7500 0.5000  4 H 1.90
Ta2 0.5000 0.5000 0.0000  4 H 1.90
W1 0.7500 0.2500 0.5000  4 H 1.85
W2 0.0000 0.0000 0.0000  4 H 1.85